K3NaLi2F6 | PBE | optimized geometry

Cell and atoms, written as extended XYZ:
```
12
Lattice="6.0926 0.0000 0.0000 -3.0463 5.2763 0.0000 0.0000 0.0000 6.7244" Properties=species:S:1:pos:R:3 pbc="T T T"
F -1.4796 4.3718 1.9223
F 0.0000 1.8091 1.9223
F 1.4796 4.3718 1.9223
F 4.5259 0.9045 4.8022
F 1.5667 0.9045 4.8022
F 3.0463 3.4672 4.8022
K 3.0463 1.7588 2.4411
K 0.0000 0.0000 0.0000
K 0.0000 3.5175 4.2833
Na 0.0000 0.0000 3.3622
Li 3.0463 1.7588 5.2473
Li 0.0000 3.5175 1.4771
```

Properties
Calculated volume: 216.2 Å³/cell
E: -52.0 eV for the cell shown
Size of the total moment: 0.000 μB/atom